Material: TcHgAsO
Method: DFT, PBE-GGA
State: optimized geometry Values from VASP.

Calculated values
energy relative to the lowest polymorph listed for this composition: 242 meV per atom
size of the total moment: 0.01 Bohr magnetons per cell
SG: Pmc2_1
energy: -41.56 eV for the cell shown

Quantum ESPRESSO input file:
```
&SYSTEM
  ibrav = 0, nat = 8, ntyp = 4
/
ATOMIC_SPECIES
Tc 98.00 Tc.upf
Hg 200.59 Hg.upf
As 74.92 As.upf
O 16.00 O.upf
CELL_PARAMETERS angstrom
3.746 0.000 0.000
0.000 6.742 0.000
0.000 0.000 6.404
ATOMIC_POSITIONS crystal
Tc 0.000 0.220 0.000
Tc 0.000 0.780 0.500
Hg 0.500 0.354 0.553
Hg 0.500 0.646 0.053
As 0.000 0.109 0.356
As 0.000 0.891 0.856
O 0.500 0.236 0.989
O 0.500 0.764 0.489
```